4
Lattice="2.919 0.000 0.000 0.000 3.894 0.000 -1.256 0.000 6.629" Properties=species:S:1:pos:R:3 comment="TeAsOs2 GGA-PBE optimized geometry" formation_energy_uncorrected_ev_per_atom=0.735 density_g_cm3=12.85 pbc="T T T"
Te 0.000 0.000 0.000
As 0.832 0.000 3.314
Os 0.056 1.947 2.136
Os 1.607 1.947 4.493